# Nb2CdInH, relaxed, DFT PBE-GGA
data_Nb2CdInH
_chemical_formula_sum 'Nb2 Cd1 In1 H1'
_symmetry_space_group_name_H-M 'P 4/m m m'
_symmetry_Int_Tables_number 123
_symmetry_space_group_name_Hall '-P 4 2'
_cell_length_a 4.1399
_cell_length_b 4.1399
_cell_length_c 4.7037
_cell_angle_alpha 90.00
_cell_angle_beta 90.00
_cell_angle_gamma 90.00
loop_
_atom_site_label
_atom_site_fract_x
_atom_site_fract_y
_atom_site_fract_z
Nb1 0.0000 0.5000 0.0000
Cd1 0.0000 0.0000 0.5000
In1 0.5000 0.5000 0.5000
H1 0.0000 0.0000 0.0000
# **Calculated volume**: 16.12 Å³ per atom
# **Spin magnetization**: 0.000 μB/atom
# **Total energy**: -5.35 eV/atom
# **D(E_F)**: 3.4 states/eV/cell



# Sr2MgOs, relaxed, DFT PBE-GGA
data_Sr2MgOs
_chemical_formula_sum 'Sr4 Mg2 Os2'
_symmetry_space_group_name_H-M 'I -4 m 2'
_symmetry_Int_Tables_number 119
_symmetry_space_group_name_Hall 'I -4 -2'
_cell_length_a 4.9188
_cell_length_b 4.9188
_cell_length_c 8.4574
_cell_angle_alpha 90.00
_cell_angle_beta 90.00
_cell_angle_gamma 90.00
loop_
_atom_site_label
_atom_site_fract_x
_atom_site_fract_y
_atom_site_fract_z
Sr1 0.0000 0.0000 0.0000
Sr2 0.0000 0.5000 0.2500
Mg1 0.0000 0.5000 0.7500
Os1 0.0000 0.0000 0.5000
# **Calculated volume**: 25.58 Å³ per atom
# **Spin magnetization**: 0.000 μB/atom
# **Total energy**: -3.47 eV/atom
# **D(E_F)**: 2.4 states/eV/cell



# BeAlSi2, relaxed, DFT PBE-GGA
data_BeAlSi2
_chemical_formula_sum 'Be4 Al4 Si8'
_symmetry_space_group_name_H-M 'F m -3 m'
_symmetry_Int_Tables_number 225
_symmetry_space_group_name_Hall '-F 4 2 3'
_cell_length_a 6.0673
_cell_length_b 6.0673
_cell_length_c 6.0673
_cell_angle_alpha 90.00
_cell_angle_beta 90.00
_cell_angle_gamma 90.00
loop_
_atom_site_label
_atom_site_fract_x
_atom_site_fract_y
_atom_site_fract_z
Be1 0.0000 0.0000 0.0000
Al1 0.0000 0.0000 0.5000
Si1 0.2500 0.2500 0.2500
# **Calculated volume**: 13.96 Å³ per atom
# **Spin magnetization**: 0.000 μB/atom
# **Total energy**: -4.12 eV/atom
# **D(E_F)**: 5.5 states/eV/cell
# **ΔE_f (raw)**: 462 meV/atom
# **ΔE to the lowest computed polymorph**: 14.3 kJ/mol of atoms



# Nd2Sm2Te3, relaxed, DFT PBE-GGA
data_Nd2Sm2Te3
_chemical_formula_sum 'Nd4 Sm4 Te6'
_symmetry_space_group_name_H-M 'C 1 2/m 1'
_symmetry_Int_Tables_number 12
_symmetry_space_group_name_Hall '-C 2y'
_cell_length_a 16.5559
_cell_length_b 4.3053
_cell_length_c 7.3910
_cell_angle_alpha 90.00
_cell_angle_beta 116.37
_cell_angle_gamma 90.00
loop_
_atom_site_label
_atom_site_fract_x
_atom_site_fract_y
_atom_site_fract_z
Nd1 0.1255 0.0000 0.4501
Sm1 0.1110 0.5000 0.9601
Te1 0.0000 0.5000 0.5000
Te2 0.2472 0.0000 0.2277
# **Calculated volume**: 33.71 Å³ per atom
# **Spin magnetization**: 0.000 μB/atom
# **Total energy**: -5.14 eV/atom
# **D(E_F)**: 10.8 states/eV/cell
# **ΔE_f (raw)**: -1085 meV/atom
# **ΔE to the lowest computed polymorph**: 11.3 kJ/mol of atoms



# CaCoTe, relaxed, DFT PBE-GGA
data_CaCoTe
_chemical_formula_sum 'Ca4 Co4 Te4'
_symmetry_space_group_name_H-M 'P n m a'
_symmetry_Int_Tables_number 62
_symmetry_space_group_name_Hall '-P 2ac 2n'
_cell_length_a 8.6822
_cell_length_b 4.2546
_cell_length_c 7.3487
_cell_angle_alpha 90.00
_cell_angle_beta 90.00
_cell_angle_gamma 90.00
loop_
_atom_site_label
_atom_site_fract_x
_atom_site_fract_y
_atom_site_fract_z
Ca1 0.9999 0.2500 0.2493
Co1 0.2501 0.2500 0.5826
Te1 0.2494 0.7500 0.4163
# **Calculated volume**: 22.62 Å³ per atom
# **Spin magnetization**: 0.177 μB/atom
# **Total energy**: -4.63 eV/atom
# **D(E_F)**: 11.4 states/eV/cell
# **ΔE_f (raw)**: -545 meV/atom
# **ΔE to the lowest computed polymorph**: 1.6 kJ/mol of atoms



# SrIn6Hg8, relaxed, DFT PBE-GGA
data_SrIn6Hg8
_chemical_formula_sum 'Sr3 In18 Hg24'
_symmetry_space_group_name_H-M 'R -3'
_symmetry_Int_Tables_number 148
_symmetry_space_group_name_Hall '-R 3'
_cell_length_a 9.5470
_cell_length_b 9.5470
_cell_length_c 15.8064
_cell_angle_alpha 90.00
_cell_angle_beta 90.00
_cell_angle_gamma 120.00
loop_
_atom_site_label
_atom_site_fract_x
_atom_site_fract_y
_atom_site_fract_z
Sr1 0.0000 0.0000 0.0000
In1 0.0016 0.1998 0.6134
Hg1 0.0000 0.0000 0.2155
Hg2 0.0167 0.7130 0.8820
# **Calculated volume**: 27.73 Å³ per atom
# **Spin magnetization**: 0.000 μB/atom
# **Total energy**: -1.44 eV/atom
# **D(E_F)**: 22.3 states/eV/cell



# ThMnFeSi3, relaxed, DFT PBE-GGA
data_ThMnFeSi3
_chemical_formula_sum 'Th4 Mn4 Fe4 Si12'
_symmetry_space_group_name_H-M 'C m c m'
_symmetry_Int_Tables_number 63
_symmetry_space_group_name_Hall '-C 2c 2'
_cell_length_a 5.7963
_cell_length_b 10.9728
_cell_length_c 6.3937
_cell_angle_alpha 90.00
_cell_angle_beta 90.00
_cell_angle_gamma 90.00
loop_
_atom_site_label
_atom_site_fract_x
_atom_site_fract_y
_atom_site_fract_z
Th1 0.0000 0.2493 0.2500
Mn1 0.0000 0.0239 0.7500
Fe1 0.0000 0.4112 0.7500
Si1 0.0000 0.2186 0.7500
Si2 0.2139 0.5000 0.0000
# **Calculated volume**: 16.94 Å³ per atom
# **Spin magnetization**: 0.154 μB/atom
# **Total energy**: -7.21 eV/atom
# **D(E_F)**: 16.7 states/eV/cell
# **ΔE_f (raw)**: -326 meV/atom



# BaNaRhO4, relaxed, DFT PBE-GGA
data_BaNaRhO4
_chemical_formula_sum 'Ba2 Na2 Rh2 O8'
_symmetry_space_group_name_H-M 'I 4 m m'
_symmetry_Int_Tables_number 107
_symmetry_space_group_name_Hall 'I 4 -2'
_cell_length_a 4.0443
_cell_length_b 4.0443
_cell_length_c 12.9730
_cell_angle_alpha 90.00
_cell_angle_beta 90.00
_cell_angle_gamma 90.00
loop_
_atom_site_label
_atom_site_fract_x
_atom_site_fract_y
_atom_site_fract_z
Ba1 0.0000 0.0000 0.0000
Na1 0.0000 0.0000 0.7240
Rh1 0.0000 0.0000 0.3476
O1 0.0000 0.0000 0.2014
O2 0.0000 0.0000 0.5025
O3 0.0000 0.5000 0.3534
# **Calculated volume**: 15.16 Å³ per atom
# **Spin magnetization**: 0.366 μB/atom
# **Total energy**: -5.73 eV/atom
# **D(E_F)**: 6.3 states/eV/cell
# **ΔE_f (raw)**: -1380 meV/atom



# LaAlRu2, relaxed, DFT PBE-GGA
data_LaAlRu2
_chemical_formula_sum 'La4 Al4 Ru8'
_symmetry_space_group_name_H-M 'I -4 2 d'
_symmetry_Int_Tables_number 122
_symmetry_space_group_name_Hall 'I -4 2bw'
_cell_length_a 4.6623
_cell_length_b 4.6623
_cell_length_c 17.0332
_cell_angle_alpha 90.00
_cell_angle_beta 90.00
_cell_angle_gamma 90.00
loop_
_atom_site_label
_atom_site_fract_x
_atom_site_fract_y
_atom_site_fract_z
La1 0.0000 0.0000 0.0000
Al1 0.0000 0.0000 0.5000
Ru1 0.0840 0.2500 0.6250
# **Calculated volume**: 23.14 Å³ per atom
# **Spin magnetization**: 0.000 μB/atom
# **Total energy**: -6.72 eV/atom
# **D(E_F)**: 9.3 states/eV/cell



# Li2GaHg5, relaxed, DFT PBE-GGA
data_Li2GaHg5
_chemical_formula_sum 'Li4 Ga2 Hg10'
_symmetry_space_group_name_H-M 'P b a m'
_symmetry_Int_Tables_number 55
_symmetry_space_group_name_Hall '-P 2 2ab'
_cell_length_a 6.4260
_cell_length_b 12.5830
_cell_length_c 4.2474
_cell_angle_alpha 90.00
_cell_angle_beta 90.00
_cell_angle_gamma 90.00
loop_
_atom_site_label
_atom_site_fract_x
_atom_site_fract_y
_atom_site_fract_z
Li1 0.2114 0.1283 0.0000
Ga1 0.0000 0.5000 0.5000
Hg1 0.0000 0.0000 0.5000
Hg2 0.0546 0.7398 0.5000
Hg3 0.2202 0.3855 0.0000
# **Calculated volume**: 21.47 Å³ per atom
# **Spin magnetization**: 0.000 μB/atom
# **Total energy**: -1.20 eV/atom
# **D(E_F)**: 3.6 states/eV/cell



# Hf2InN, relaxed, DFT PBE-GGA
data_Hf2InN
_chemical_formula_sum 'Hf6 In3 N3'
_symmetry_space_group_name_H-M 'R -3 m'
_symmetry_Int_Tables_number 166
_symmetry_space_group_name_Hall '-R 3 2"'
_cell_length_a 3.2413
_cell_length_b 3.2413
_cell_length_c 22.4234
_cell_angle_alpha 90.00
_cell_angle_beta 90.00
_cell_angle_gamma 120.00
loop_
_atom_site_label
_atom_site_fract_x
_atom_site_fract_y
_atom_site_fract_z
Hf1 0.0000 0.0000 0.2225
In1 0.0000 0.0000 0.0000
N1 0.0000 0.0000 0.5000
# **Calculated volume**: 17.00 Å³ per atom
# **Spin magnetization**: 0.000 μB/atom
# **Total energy**: -8.74 eV/atom
# **D(E_F)**: 4.2 states/eV/cell
# **ΔE_f (raw)**: -998 meV/atom



# Sc2TlFeC, relaxed, DFT PBE-GGA
data_Sc2TlFeC
_chemical_formula_sum 'Sc2 Tl1 Fe1 C1'
_symmetry_space_group_name_H-M 'P 4/m m m'
_symmetry_Int_Tables_number 123
_symmetry_space_group_name_Hall '-P 4 2'
_cell_length_a 4.6599
_cell_length_b 4.6599
_cell_length_c 3.7596
_cell_angle_alpha 90.00
_cell_angle_beta 90.00
_cell_angle_gamma 90.00
loop_
_atom_site_label
_atom_site_fract_x
_atom_site_fract_y
_atom_site_fract_z
Sc1 0.0000 0.5000 0.0000
Tl1 0.0000 0.0000 0.5000
Fe1 0.5000 0.5000 0.5000
C1 0.5000 0.5000 0.0000
# **Calculated volume**: 16.33 Å³ per atom
# **Spin magnetization**: 0.142 μB/atom
# **Total energy**: -6.88 eV/atom
# **D(E_F)**: 3.3 states/eV/cell